Record 1
First-principles (meta-GGA SCAN) data for LaAs2CSe at its PBEsol-relaxed geometry, as listed in Alexandria.

```
5
Lattice="-3.1140 -4.3750 1.4447 1.6223 0.6347 5.4188 -4.4280 3.4558 0.9209" Properties=species:S:1:pos:R:3 pbc="T T T"
As -2.2140 1.7279 0.4604
As 0.8111 0.3174 2.7094
C -2.9599 -0.1422 3.8922
Se -1.5570 -2.1875 0.7224
La 0.0000 0.0000 0.0000
```

Calculated values
Calculated total energy (eV per atom): -20.97
Crystal system: tetragonal
Formation energy (no corrections) (kcal/mol of atoms): 40.57

Record 2
First-principles (meta-GGA SCAN) data for Mg5Co at its PBEsol-relaxed geometry, as listed in Alexandria.

```
6
Lattice="-3.2408 2.8814 0.7616 -1.5899 -2.6305 3.1866 4.9029 1.2347 3.4654" Properties=species:S:1:pos:R:3 pbc="T T T"
Co -1.6204 1.4407 0.3808
Mg 1.4962 0.5520 4.2778
Mg 0.9997 0.8148 1.1714
Mg -0.7949 -1.3153 1.5933
Mg 0.6625 3.3012 3.0556
Mg -1.4239 0.9335 3.1358
```

Calculated values
Calculated total energy (eV per atom): -6.93
Crystal system: orthorhombic
ΔH_f (0 K) (meV per atom): 98

Record 3
First-principles (meta-GGA SCAN) data for KMgP2 at its PBEsol-relaxed geometry, as listed in Alexandria.

```
4
Lattice="2.9995 0.0000 0.0000 0.0000 2.9995 0.0000 0.0000 0.0000 8.5144" Properties=species:S:1:pos:R:3 pbc="T T T"
K 1.4997 1.4997 0.0000
Mg 1.4997 1.4997 4.2572
P 0.0000 0.0000 6.0608
P 0.0000 0.0000 2.4536
```

Calculated values
Calculated total energy (eV per atom): -8.70
Crystal system: tetragonal
ΔH_f (0 K) (meV per atom): -172

Record 4
First-principles (meta-GGA SCAN) data for IrRu2W at its PBEsol-relaxed geometry, as listed in Alexandria.

```
4
Lattice="3.8303 0.0000 0.0000 0.0000 3.8303 0.0000 -1.9152 -1.9152 3.8272" Properties=species:S:1:pos:R:3 pbc="T T T"
Ru 0.0000 0.0000 0.0000
Ru 1.9152 0.0000 1.9136
Ir 0.0000 1.9152 1.9136
W 1.9152 1.9152 0.0000
```

Calculated values
Calculated total energy (eV per atom): -52.78
Crystal system: tetragonal
ΔH_f (0 K) (meV per atom): -170

Record 5
First-principles (meta-GGA SCAN) data for Cs2BeAgSe at its PBEsol-relaxed geometry, as listed in Alexandria.

```
5
Lattice="4.1705 0.0000 0.0000 0.0000 6.6500 0.0000 0.0000 0.0000 6.6500" Properties=species:S:1:pos:R:3 pbc="T T T"
Cs 0.0000 0.0000 3.3250
Cs 0.0000 3.3250 0.0000
Be 0.0000 0.0000 0.0000
Se 2.0853 0.0000 0.0000
Ag 2.0853 3.3250 3.3250
```

Calculated values
Calculated total energy (eV per atom): -26.35
Crystal system: tetragonal
Formation energy (no corrections) (kcal/mol of atoms): -1.47

Record 6
First-principles (meta-GGA SCAN) data for TlCd2Cl at its PBEsol-relaxed geometry, as listed in Alexandria.

```
4
Lattice="3.3384 0.0000 0.0000 0.0000 5.0909 0.0000 0.0000 0.0000 5.8908" Properties=species:S:1:pos:R:3 pbc="T T T"
Tl 1.6692 2.5454 2.9454
Cl 1.6692 2.5454 0.0000
Cd 0.0000 0.0000 4.4875
Cd 0.0000 0.0000 1.4033
```

Calculated values
Calculated total energy (eV per atom): -35.51
Crystal system: orthorhombic
Formation energy (no corrections) (kcal/mol of atoms): -4.99

Record 7
First-principles (meta-GGA SCAN) data for Zr2ZnSnH at its PBEsol-relaxed geometry, as listed in Alexandria.

```
5
Lattice="4.3023 0.0000 0.0000 0.0000 4.3023 0.0000 0.0000 0.0000 4.2952" Properties=species:S:1:pos:R:3 pbc="T T T"
H 0.0000 0.0000 0.0000
Zn 0.0000 0.0000 2.1476
Sn 2.1512 2.1512 2.1476
Zr 0.0000 2.1512 0.0000
Zr 2.1512 0.0000 0.0000
```

Calculated values
Calculated total energy (eV per atom): -23.27
Crystal system: tetragonal

Record 8
First-principles (meta-GGA SCAN) data for MnSnTeN2 at its PBEsol-relaxed geometry, as listed in Alexandria.

```
5
Lattice="3.8721 0.0000 0.0000 0.0000 3.8721 0.0000 0.0000 0.0000 5.2204" Properties=species:S:1:pos:R:3 pbc="T T T"
Te 0.0000 0.0000 2.6102
Sn 1.9360 1.9360 2.6102
Mn 0.0000 0.0000 0.0000
N 0.0000 1.9360 0.0000
N 1.9360 0.0000 0.0000
```

Calculated values
Calculated total energy (eV per atom): -21.22
Crystal system: tetragonal
Formation energy (no corrections) (kcal/mol of atoms): 18.09